# 1
Computed, not measured: CuTc2Pb after structural relaxation at the PBE level of DFT.

It has space group Imm2 (No. 44), with a = 4.0462 Å, b = 4.3197 Å, c = 7.4343 Å, α = 90.00°, β = 90.00° and γ = 90.00°. The asymmetric unit holds Cu at (0.0000, 0.0000, 0.0000), Tc at (0.0000, 0.0000, 0.5164), Tc at (0.0000, 0.5000, 0.2452) and Pb at (0.0000, 0.5000, 0.7555).

The calculation puts the uncorrected energy at -52.671 eV for the cell shown. The density of states at the Fermi level comes out at 5.8 states/eV/cell.



# 2
Computed, not measured: CuTc2Pb after structural relaxation at the PBE level of DFT.

It has space group C2/m (No. 12), with a = 8.9991 Å, b = 3.2340 Å, c = 4.8405 Å, α = 90.00°, β = 101.02° and γ = 90.00°. The asymmetric unit holds Cu at (0.0000, 0.0000, 0.0000), Tc at (0.2389, 0.5000, 0.1843) and Pb at (0.0000, 0.5000, 0.5000).

The calculation puts the uncorrected energy at -52.776 eV for the cell shown. The density of states at the Fermi level comes out at 8.0 states/eV/cell.



# 3
Computed, not measured: CuTc2Pb after structural relaxation at the PBE level of DFT.

It has space group P2/m (No. 10), with a = 3.1727 Å, b = 4.6546 Å, c = 4.8969 Å, α = 90.00°, β = 91.96° and γ = 90.00°. The asymmetric unit holds Cu at (0.0000, 0.0000, 0.0000), Tc at (0.2851, 0.5000, 0.1847) and Pb at (0.5000, 0.0000, 0.5000).

The calculation puts the uncorrected energy at -26.111 eV for the cell shown. The density of states at the Fermi level comes out at 3.0 states/eV/cell.



# 4
Computed, not measured: CuTc2Pb after structural relaxation at the PBE level of DFT.

It has space group I4/mmm (No. 139), with a = 3.8908 Å, b = 3.8908 Å, c = 8.6075 Å, α = 90.00°, β = 90.00° and γ = 90.00°. The asymmetric unit holds Cu at (0.0000, 0.0000, 0.0000), Tc at (0.0000, 0.5000, 0.2500) and Pb at (0.0000, 0.0000, 0.5000).

The calculation puts the uncorrected energy at -51.696 eV for the cell shown. The density of states at the Fermi level comes out at 11.3 states/eV/cell.



# 5
Computed, not measured: CuTc2Pb after structural relaxation at the PBE level of DFT.

It has space group P4/mmm (No. 123), with a = 4.4025 Å, b = 4.4025 Å, c = 3.3460 Å, α = 90.00°, β = 90.00° and γ = 90.00°. The asymmetric unit holds Cu at (0.0000, 0.0000, 0.0000), Tc at (0.0000, 0.5000, 0.5000) and Pb at (0.5000, 0.5000, 0.0000).

The calculation puts the uncorrected energy at -25.617 eV for the cell shown. The density of states at the Fermi level comes out at 4.9 states/eV/cell.



# 6
Computed, not measured: CuTcPb2 after structural relaxation at the PBE level of DFT.

It has space group Imm2 (No. 44), with a = 3.1429 Å, b = 4.5426 Å, c = 12.3757 Å, α = 90.00°, β = 90.00° and γ = 90.00°. The asymmetric unit holds Cu at (0.0000, 0.0000, 0.0000), Tc at (0.0000, 0.5000, 0.3294), Pb at (0.0000, 0.0000, 0.6106) and Pb at (0.0000, 0.5000, 0.8299).

The calculation puts the uncorrected energy at -39.560 eV for the cell shown. The density of states at the Fermi level comes out at 5.7 states/eV/cell.



# 7
Computed, not measured: CuTc2Pb after structural relaxation at the PBE level of DFT.

It has space group F-43m (No. 216), with a = 6.3795 Å, b = 6.3795 Å, c = 6.3795 Å, α = 90.00°, β = 90.00° and γ = 90.00°. The asymmetric unit holds Cu at (0.0000, 0.0000, 0.0000), Tc at (0.0000, 0.0000, 0.5000), Tc at (0.2500, 0.2500, 0.2500) and Pb at (0.2500, 0.2500, 0.7500).

The calculation puts the uncorrected energy at -104.738 eV for the cell shown. The density of states at the Fermi level comes out at 13.7 states/eV/cell.



# 8
Computed, not measured: CuTc2Pb after structural relaxation at the PBE level of DFT.

It has space group Pmmm (No. 47), with a = 3.1903 Å, b = 4.4504 Å, c = 4.6182 Å, α = 90.00°, β = 90.00° and γ = 90.00°. The asymmetric unit holds Cu at (0.0000, 0.0000, 0.0000), Tc at (0.0000, 0.5000, 0.5000), Tc at (0.5000, 0.0000, 0.5000) and Pb at (0.5000, 0.5000, 0.0000).

The calculation puts the uncorrected energy at -25.921 eV for the cell shown. The density of states at the Fermi level comes out at 4.1 states/eV/cell.



no.,energy of formation (eV/atom),total magnetic moment (μB per atom)
1,0.550,0.000
2,0.537,0.000
3,0.606,0.000
4,0.672,0.001
5,0.730,0.124
6,0.525,0.000
7,0.588,0.000
8,0.654,0.000